Entry 1:
KErPb2 (PBE, optimized geometry); density = 7.81 g/cm³; total DFT energy (no corrections) = -13.85 eV/cell; formation enthalpy at 0 K = -193.7 meV per atom
1.0
1.877 1.084 10.818
-1.877 1.084 10.818
0.000 -2.168 10.818
K Er Pb
1 1 2
Direct
0.000 0.000 0.000 K
0.500 0.500 0.500 Er
0.243 0.243 0.243 Pb
0.757 0.757 0.757 Pb

=====

Entry 2:
K2TaCrSb (PBE, optimized geometry); density = 3.10 g/cm³; total DFT energy (no corrections) = -21.51 eV/cell; formation energy without anion corrections = 1256 meV/atom
1.0
6.596 0.000 0.000
0.000 6.596 0.000
0.000 0.000 5.332
K Ta Cr Sb
2 1 1 1
Direct
0.000 0.500 0.000 K
0.500 0.000 0.000 K
0.000 0.000 0.500 Ta
0.500 0.500 0.500 Cr
0.000 0.000 0.000 Sb

=====

Entry 3:
Rb2CdP (PBE, optimized geometry); density = 3.53 g/cm³; total DFT energy (no corrections) = -7.81 eV/cell; formation enthalpy at 0 K = 113.8 meV per atom
1.0
0.000 4.198 4.198
4.198 0.000 4.198
4.198 4.198 0.000
Rb Cd P
2 1 1
Direct
0.250 0.250 0.250 Rb
0.750 0.750 0.750 Rb
0.000 0.000 0.000 Cd
0.500 0.500 0.500 P

=====

Entry 4:
TeAsWBr2 (PBE, optimized geometry); density = 7.13 g/cm³; total DFT energy (no corrections) = -21.26 eV/cell; formation energy without anion corrections = 565 meV/atom
1.0
4.945 0.000 0.000
0.000 4.945 0.000
0.000 0.000 5.200
Te As W Br
1 1 1 2
Direct
0.000 0.000 0.000 Te
0.500 0.500 0.000 As
0.500 0.500 0.500 W
0.000 0.500 0.500 Br
0.500 0.000 0.500 Br

=====

Entry 5:
LiPW2 (PBE, optimized geometry); density = 12.15 g/cm³; total DFT energy (no corrections) = -32.42 eV/cell; formation enthalpy at 0 K = 202.2 meV per atom
1.0
4.401 -1.450 0.000
4.401 1.450 0.000
-1.117 0.000 4.341
Li P W
1 1 2
Direct
0.000 0.000 0.000 Li
0.276 0.276 0.743 P
0.545 0.545 0.538 W
0.763 0.763 0.225 W

=====

Entry 6:
BeCuIN2 (PBE, optimized geometry); density = 4.06 g/cm³; total DFT energy (no corrections) = -17.99 eV/cell; formation energy without anion corrections = 1607 meV/atom
1.0
3.648 0.000 0.000
0.000 3.648 0.000
0.000 0.000 6.987
Be Cu I N
1 1 1 2
Direct
0.000 0.000 0.000 Be
0.500 0.500 0.500 Cu
0.500 0.500 0.000 I
0.000 0.500 0.500 N
0.500 0.000 0.500 N